! LaHfTi2, optimized geometry, DFT PBE-GGA; values from VASP
! - Energy: -6.957 eV/atom
! - Total magnetic moment: 0.0 μB per formula unit
! - Energy relative to the elements: 711 meV/atom
! - ρ: 7.3 g/cm3
&SYSTEM
  ibrav = 0, nat = 8, ntyp = 3
/
ATOMIC_SPECIES
Ti 47.87 Ti.upf
Hf 178.49 Hf.upf
La 138.91 La.upf
ATOMIC_POSITIONS angstrom
Ti -0.672 -1.898 3.773
Ti 1.266 0.540 3.996
Ti -1.658 0.353 8.640
Ti 0.096 -1.228 10.683
Hf 0.000 0.000 0.000
Hf -1.208 -1.732 6.642
La 1.672 -1.599 1.992
La 0.724 0.617 6.904
CELL_PARAMETERS angstrom
-0.260 -3.947 1.730
3.605 0.750 2.255
-3.828 2.081 9.561